VASP calculation (PBE) on ScTlPb2Br8 after structural relaxation.

The calculation puts the energy at -43.138 eV/cell. The volume is 441 Å³/f.u. Its total magnetization is 0.00 μB per cell. The formation energy without anion corrections is -1137 meV/atom.

Cell: 6.7591 7.1424 9.1395 Å, 90.00 89.94 88.72°
Closest atoms and distances in Å follow each position.
Space group P-1 (No. 2)
One atom of each set of equivalent atoms:
1 Sc 0.0000 0.0000 0.0000 x1  6 Br 2.67-2.73
2 Tl 0.0000 0.0000 0.5000 x1  6 Br 3.24-3.27
3 Pb 0.5002 0.4999 0.2450 x2  6 Br 2.97-3.22
4 Br 0.2267 0.3108 0.0002 x2  1 Sc 2.73
5 Br 0.2323 0.8511 0.2070 x2  1 Sc 2.67
6 Br 0.2329 0.8517 0.7926 x2  1 Sc 2.67
7 Br 0.2674 0.3702 0.5001 x2  2 Pb 2.97, 1 Tl 3.24